Compound: SmVP2O8
Source: Alexandria via LeMat-Bulk
Functional: PBE with a Hubbard U
Structure: optimized geometry

Unit cell a=5.149 b=5.149 c=6.673 alpha=90.00 beta=90.00 gamma=120.00
Element x y z (fractional)
1 Sm 0.000 0.000 0.500
2 V 0.000 0.000 0.000
3 P 0.333 0.667 0.725
4 P 0.667 0.333 0.275
5 O 0.169 0.338 0.799
6 O 0.169 0.831 0.799
7 O 0.662 0.831 0.799
8 O 0.338 0.169 0.201
9 O 0.667 0.333 0.505
10 O 0.333 0.667 0.495
11 O 0.831 0.662 0.201
12 O 0.831 0.169 0.201

Its density of states at the Fermi level is 4.39 states/eV/cell. As for the total energy: -7.7207 eV per atom. The space group is P-3m1, No. 164.